[1]
This record from the Alexandria database describes a crystal of AlAg2Hg relaxed with PBEsol. The functional is meta-GGA SCAN.

The magnetic moment is 0.00 μB/cell. The value obtained for the polymorph energy (0 for the lowest one) is 0.0255 eV per atom. The energy of formation is 9 meV/atom.

```
data_AlAg2Hg
_cell_length_a 3.064
_cell_length_b 4.888
_cell_length_c 9.314
_cell_angle_alpha 90.00
_cell_angle_beta 90.00
_cell_angle_gamma 90.00
_space_group_name_H-M_alt 'I m m m'
_space_group_IT_number 71
_space_group_name_Hall '-I 2 2'
loop_
_atom_site_label
_atom_site_fract_x
_atom_site_fract_y
_atom_site_fract_z
Al1 0.000 0.000 0.000
Ag1 0.000 0.500 0.266
Hg1 0.000 0.000 0.500
```


[2]
This record from the Alexandria database describes a crystal of Al2Ag2Hg relaxed with PBEsol. The functional is meta-GGA SCAN.

The magnetic moment is 0.00 μB/cell. The energy of formation is 7 meV/atom.

```
data_Al2Ag2Hg
_cell_length_a 8.073
_cell_length_b 8.073
_cell_length_c 2.760
_cell_angle_alpha 90.00
_cell_angle_beta 90.00
_cell_angle_gamma 90.00
_space_group_name_H-M_alt 'P 4/m b m'
_space_group_IT_number 127
_space_group_name_Hall '-P 4 2ab'
loop_
_atom_site_label
_atom_site_fract_x
_atom_site_fract_y
_atom_site_fract_z
Al1 0.125 0.375 0.000
Ag1 0.172 0.672 0.500
Hg1 0.000 0.000 0.000
```


[3]
This record from the Alexandria database describes a crystal of Al2AgHg relaxed with PBEsol. The functional is meta-GGA SCAN.

The magnetic moment is 0.00 μB/cell. The energy of formation is 206 meV/atom.

```
data_Al2AgHg
_cell_length_a 6.662
_cell_length_b 6.662
_cell_length_c 6.662
_cell_angle_alpha 90.00
_cell_angle_beta 90.00
_cell_angle_gamma 90.00
_space_group_name_H-M_alt 'F -4 3 m'
_space_group_IT_number 216
_space_group_name_Hall 'F -4 2 3'
loop_
_atom_site_label
_atom_site_fract_x
_atom_site_fract_y
_atom_site_fract_z
Al1 0.000 0.000 0.000
Al2 0.250 0.250 0.250
Ag1 0.000 0.000 0.500
Hg1 0.250 0.250 0.750
```


[4]
This record from the Alexandria database describes a crystal of AlAg2Hg relaxed with PBEsol. The functional is meta-GGA SCAN.

The magnetic moment is 0.00 μB/cell. The value obtained for the polymorph energy (0 for the lowest one) is 0.0000 eV per atom. The energy of formation is -16 meV/atom.

```
data_AlAg2Hg
_cell_length_a 2.9949
_cell_length_b 2.9949
_cell_length_c 27.1116
_cell_angle_alpha 90.00
_cell_angle_beta 90.00
_cell_angle_gamma 120.00
_space_group_name_H-M_alt 'R -3 m'
_space_group_IT_number 166
_space_group_name_Hall '-R 3 2"'
loop_
_atom_site_label
_atom_site_fract_x
_atom_site_fract_y
_atom_site_fract_z
Al1 0.0000 0.0000 0.0000
Ag1 0.0000 0.0000 0.2561
Hg1 0.0000 0.0000 0.5000
```


[5]
This record from the Alexandria database describes a crystal of HoAlAg2 relaxed with PBEsol. The functional is meta-GGA SCAN.

The magnetic moment is 0.00 μB/cell. The energy of formation is -404 meV/atom.

```
data_HoAlAg2
_cell_length_a 6.698
_cell_length_b 6.698
_cell_length_c 6.698
_cell_angle_alpha 90.00
_cell_angle_beta 90.00
_cell_angle_gamma 90.00
_space_group_name_H-M_alt 'F m -3 m'
_space_group_IT_number 225
_space_group_name_Hall '-F 4 2 3'
loop_
_atom_site_label
_atom_site_fract_x
_atom_site_fract_y
_atom_site_fract_z
Ho1 0.000 0.000 0.000
Al1 0.000 0.000 0.500
Ag1 0.250 0.250 0.250
```


[6]
This record from the Alexandria database describes a crystal of Al2Ag2I relaxed with PBEsol. The functional is meta-GGA SCAN.

The calculation puts the electronic total energy at -22.70 eV/atom. The magnetic moment is 0.00 μB/cell.

```
data_Al2Ag2I
_cell_length_a 7.768
_cell_length_b 7.768
_cell_length_c 3.408
_cell_angle_alpha 90.00
_cell_angle_beta 90.00
_cell_angle_gamma 90.00
_space_group_name_H-M_alt 'P 4/m b m'
_space_group_IT_number 127
_space_group_name_Hall '-P 4 2ab'
loop_
_atom_site_label
_atom_site_fract_x
_atom_site_fract_y
_atom_site_fract_z
Al1 0.157 0.343 0.000
Ag1 0.130 0.630 0.500
I1 0.000 0.000 0.500
```


[7]
This record from the Alexandria database describes a crystal of AlAgI2O relaxed with PBEsol. The functional is meta-GGA SCAN.

The calculation puts the electronic total energy at -24.60 eV/atom. The magnetic moment is 0.00 μB/cell.

```
data_AlAgI2O
_cell_length_a 5.657
_cell_length_b 5.657
_cell_length_c 3.469
_cell_angle_alpha 90.00
_cell_angle_beta 90.00
_cell_angle_gamma 90.00
_space_group_name_H-M_alt 'P 4/m m m'
_space_group_IT_number 123
_space_group_name_Hall '-P 4 2'
loop_
_atom_site_label
_atom_site_fract_x
_atom_site_fract_y
_atom_site_fract_z
Al1 0.000 0.000 0.000
Ag1 0.500 0.500 0.500
I1 0.000 0.500 0.000
O1 0.000 0.000 0.500
```


[8]
This record from the Alexandria database describes a crystal of Al2AgOsI relaxed with PBEsol. The functional is meta-GGA SCAN.

The calculation puts the electronic total energy at -29.83 eV/atom. The magnetic moment is 2.56 μB/cell.

```
data_Al2AgOsI
_cell_length_a 4.631
_cell_length_b 4.631
_cell_length_c 5.197
_cell_angle_alpha 90.00
_cell_angle_beta 90.00
_cell_angle_gamma 90.00
_space_group_name_H-M_alt 'P 4/m m m'
_space_group_IT_number 123
_space_group_name_Hall '-P 4 2'
loop_
_atom_site_label
_atom_site_fract_x
_atom_site_fract_y
_atom_site_fract_z
Al1 0.000 0.500 0.000
Ag1 0.000 0.000 0.000
Os1 0.000 0.000 0.500
I1 0.500 0.500 0.500
```


[9]
This record from the Alexandria database describes a crystal of AlAgSbI2 relaxed with PBEsol. The functional is meta-GGA SCAN.

The calculation puts the electronic total energy at -29.46 eV/atom. The magnetic moment is 1.31 μB/cell.

```
data_AlAgSbI2
_cell_length_a 5.632
_cell_length_b 5.632
_cell_length_c 5.270
_cell_angle_alpha 90.00
_cell_angle_beta 90.00
_cell_angle_gamma 90.00
_space_group_name_H-M_alt 'P 4/m m m'
_space_group_IT_number 123
_space_group_name_Hall '-P 4 2'
loop_
_atom_site_label
_atom_site_fract_x
_atom_site_fract_y
_atom_site_fract_z
Al1 0.000 0.000 0.000
Ag1 0.500 0.500 0.500
Sb1 0.500 0.500 0.000
I1 0.000 0.500 0.500
```


[10]
This record from the Alexandria database describes a crystal of AlAgTeI2 relaxed with PBEsol. The functional is meta-GGA SCAN.

The calculation puts the electronic total energy at -29.77 eV/atom. The magnetic moment is 0.00 μB/cell.

```
data_AlAgTeI2
_cell_length_a 5.414
_cell_length_b 5.414
_cell_length_c 5.388
_cell_angle_alpha 90.00
_cell_angle_beta 90.00
_cell_angle_gamma 90.00
_space_group_name_H-M_alt 'P 4/m m m'
_space_group_IT_number 123
_space_group_name_Hall '-P 4 2'
loop_
_atom_site_label
_atom_site_fract_x
_atom_site_fract_y
_atom_site_fract_z
Al1 0.000 0.000 0.000
Ag1 0.500 0.500 0.500
Te1 0.000 0.000 0.500
I1 0.000 0.500 0.000
```


[11]
This record from the Alexandria database describes a crystal of AlIn4Ag relaxed with PBEsol. The functional is meta-GGA SCAN.

The magnetic moment is 0.00 μB/cell. The energy of formation is 412 meV/atom.

```
data_AlIn4Ag
_cell_length_a 8.374
_cell_length_b 8.374
_cell_length_c 8.374
_cell_angle_alpha 90.00
_cell_angle_beta 90.00
_cell_angle_gamma 90.00
_space_group_name_H-M_alt 'F -4 3 m'
_space_group_IT_number 216
_space_group_name_Hall 'F -4 2 3'
loop_
_atom_site_label
_atom_site_fract_x
_atom_site_fract_y
_atom_site_fract_z
Al1 0.000 0.000 0.000
In1 0.125 0.125 0.375
Ag1 0.250 0.250 0.750
```


[12]
This record from the Alexandria database describes a crystal of Al2InAg2 relaxed with PBEsol. The functional is meta-GGA SCAN.

The magnetic moment is 0.00 μB/cell. The energy of formation is 16 meV/atom.

```
data_Al2InAg2
_cell_length_a 8.081
_cell_length_b 8.081
_cell_length_c 2.812
_cell_angle_alpha 90.00
_cell_angle_beta 90.00
_cell_angle_gamma 90.00
_space_group_name_H-M_alt 'P 4/m b m'
_space_group_IT_number 127
_space_group_name_Hall '-P 4 2ab'
loop_
_atom_site_label
_atom_site_fract_x
_atom_site_fract_y
_atom_site_fract_z
Al1 0.127 0.373 0.000
In1 0.000 0.000 0.500
Ag1 0.169 0.669 0.500
```


> Which value of magnetic moment does entry 10 give?

0.00 μB/cell


> magnetic moment of number 11 (AlIn4Ag)?

0.00 μB/cell